DFT (GGA-PBE) results for a relaxed CsNiBi crystal.

Total energy ... -2.49 eV/atom

abc: 6.075 6.075 6.075
angles: 60.00 60.00 60.00
Fractional coordinates of all 3 atoms:
1 Cs 0.000 0.000 0.000
2 Ni 0.500 0.500 0.500
3 Bi 0.250 0.250 0.250